No. 1
Below is a relaxed H4RuCl2 crystal, with properties calculated at the PBE level.

```
H4RuCl2
1.0
3.4844 0.0000 0.0000
0.0000 3.4844 0.0000
1.7422 1.7422 9.2626
Ru H Cl
1 4 2
Direct
0.0000 0.0000 0.0000
0.7419 0.7419 0.5162
0.2581 0.2581 0.4838
0.0000 0.5000 0.0000
0.5000 0.0000 0.0000
0.6721 0.6721 0.6559
0.3279 0.3279 0.3441
```

As for the total energy: -24.683 eV per cell. As for the theoretical density: 2.6 g cm⁻³. As for the density of states at the Fermi level: 0.33 states/eV/atom. The calculation puts the magnetic moment at 2.1 μB per cell. Its space group is I4/mmm (139).



No. 2
Below is a relaxed HRuCl2 crystal, with properties calculated at the PBE level.

```
HRuCl2
1.0
-0.2270 6.6749 -1.7560
-1.3974 6.5775 1.5726
2.0708 6.5235 0.9190
Ru H Cl
1 1 2
Direct
0.5000 0.5000 0.5000
0.0000 0.0000 0.0000
0.9203 0.9203 0.9203
0.0797 0.0797 0.0797
```

As for the theoretical density: 4.0 g cm⁻³. As for the density of states at the Fermi level: 0.31 states/eV/atom. The calculation puts the magnetic moment at 3.0 μB per cell. The polymorph energy (0 for the lowest one) is 0.00 eV per formula unit. Its space group is R-3m (166).



Among the records above, which one has the lowest magnetic moment? H4RuCl2



Which of these has the highest magnetic moment? HRuCl2



Which value of theoretical density does entry 2 give? 4.0 g cm⁻³



Copy entry 1 word for word.
Below is a relaxed H4RuCl2 crystal, with properties calculated at the PBE level.

```
H4RuCl2
1.0
3.4844 0.0000 0.0000
0.0000 3.4844 0.0000
1.7422 1.7422 9.2626
Ru H Cl
1 4 2
Direct
0.0000 0.0000 0.0000
0.7419 0.7419 0.5162
0.2581 0.2581 0.4838
0.0000 0.5000 0.0000
0.5000 0.0000 0.0000
0.6721 0.6721 0.6559
0.3279 0.3279 0.3441
```

As for the total energy: -24.683 eV per cell. As for the theoretical density: 2.6 g cm⁻³. As for the density of states at the Fermi level: 0.33 states/eV/atom. The calculation puts the magnetic moment at 2.1 μB per cell. Its space group is I4/mmm (139).